# Mn2CrSe6

Crystalline Mn2CrSe6 at its relaxed geometry (PBE, the Alexandria database).

Unit cell a=3.488 b=7.784 c=8.453 alpha=110.56 beta=101.91 gamma=90.00
Site moments in Bohr magnetons follow the coordinates.
Fractional coordinates of all 9 atoms:
Mn 0.833 0.668 0.667  3.02
Mn 0.167 0.332 0.333  3.02
Cr 0.500 0.000 0.000  2.70
Se 0.338 0.897 0.676  -0.12
Se 0.008 0.236 0.015  -0.16
Se 0.672 0.562 0.344  -0.13
Se 0.992 0.764 0.985  -0.16
Se 0.662 0.103 0.324  -0.12
Se 0.328 0.438 0.656  -0.13

Output
**Total magnetization**: 0.91 μB/atom
**Raw formation energy**: -0.473 eV/atom
**E**: -53.1 eV for the cell shown